(1)
DFT (PBE) results for a geometry-optimized MgTeCI2 structure.

Values from the calculation:
Energy relative to the elements, uncorrected in eV per atom: 0.838
Final energy in eV per cell: -12.9
DOS(E_F) in states/eV per atom: 0.4967
Mass density in g cm⁻³: 5.49
Crystal system: tetragonal

Unit cell a=5.110 b=5.110 c=4.836 alpha=90.00 beta=90.00 gamma=90.00
Space group P4/mmm (No. 123)
Inequivalent atoms, fractional coordinates:
1 Mg 0.000 0.000 0.000 x1
2 Te 0.500 0.500 0.000 x1
3 C 0.500 0.500 0.500 x1
4 I 0.000 0.500 0.500 x2

---

(2)
DFT (PBE) results for a geometry-optimized MgTe2CI structure.

Values from the calculation:
Energy relative to the elements, uncorrected in eV per atom: 0.826
Final energy in eV per cell: -14.5
DOS(E_F) in states/eV per atom: 1.0351
Mass density in g cm⁻³: 5.79
Crystal system: tetragonal

Unit cell a=4.871 b=4.871 c=5.054 alpha=90.00 beta=90.00 gamma=90.00
Space group P4/mmm (No. 123)
Inequivalent atoms, fractional coordinates:
1 Mg 0.000 0.000 0.000 x1
2 Te 0.000 0.500 0.500 x2
3 C 0.500 0.500 0.500 x1
4 I 0.500 0.500 0.000 x1

---

(3)
DFT (PBE) results for a geometry-optimized MgTeCI2 structure.

Values from the calculation:
Energy relative to the elements, uncorrected in eV per atom: 1.295
Final energy in eV per cell: -10.6
DOS(E_F) in states/eV per atom: 1.4441
Mass density in g cm⁻³: 3.79
Crystal system: tetragonal

Unit cell a=5.636 b=5.636 c=5.756 alpha=90.00 beta=90.00 gamma=90.00
Space group P4/mmm (No. 123)
Inequivalent atoms, fractional coordinates:
1 Mg 0.000 0.000 0.000 x1
2 Te 0.000 0.000 0.500 x1
3 C 0.500 0.500 0.500 x1
4 I 0.000 0.500 0.000 x2

---

(4)
DFT (PBE) results for a geometry-optimized MgTe2CI structure.

Values from the calculation:
Energy relative to the elements, uncorrected in eV per atom: 1.479
Final energy in eV per cell: -11.3
DOS(E_F) in states/eV per atom: 1.4177
Mass density in g cm⁻³: 4.02
Crystal system: tetragonal

Unit cell a=5.571 b=5.571 c=5.561 alpha=90.00 beta=90.00 gamma=90.00
Space group P4/mmm (No. 123)
Inequivalent atoms, fractional coordinates:
1 Mg 0.000 0.000 0.000 x1
2 Te 0.000 0.500 0.000 x2
3 C 0.500 0.500 0.500 x1
4 I 0.000 0.000 0.500 x1

---

The following E above lowest polymorph values (in meV/atom) correspond, in order, to the records above: 0, 0, 457, 653.